1.
Compound: Pm6Sm2YTh
Source: Alexandria
Functional: PBE
Structure: optimized geometry

```
Pm6Sm2YTh
1.0
4.590 -7.624 0.000
4.590 7.624 0.000
-1.533 0.000 9.783
Pm Sm Y Th
12 4 2 2
direct
0.021 0.578 0.192
0.124 0.746 0.559
0.254 0.876 0.941
0.297 0.496 0.381
0.422 0.979 0.308
0.496 0.297 0.881
0.504 0.703 0.119
0.578 0.021 0.692
0.703 0.504 0.619
0.746 0.124 0.059
0.876 0.254 0.441
0.979 0.422 0.808
0.187 0.292 0.044
0.292 0.187 0.544
0.708 0.813 0.456
0.813 0.708 0.956
0.018 0.982 0.250
0.982 0.018 0.750
0.406 0.594 0.750
0.594 0.406 0.250
```

Spin magnetization (μB per formula unit): 0.00
E_form (meV per atom): 145

---

2.
Compound: KCrHgAs2
Source: Alexandria
Functional: PBE
Structure: optimized geometry

```
KCrHgAs2
1.0
5.620 0.000 0.000
0.000 5.620 0.000
0.000 0.000 5.487
K Cr Hg As
1 1 1 2
direct
0.000 0.000 0.000
0.000 0.000 0.500
0.500 0.500 0.500
0.000 0.500 0.000
0.500 0.000 0.000
```

Spin magnetization (μB per formula unit): 3.47
E_form (meV per atom): 1549

---

3.
Compound: Er2PuAs
Source: Alexandria
Functional: PBE
Structure: optimized geometry

```
Er2PuAs
1.0
1.890 1.091 9.282
-1.890 1.091 9.282
0.000 -2.183 9.282
Er Pu As
2 1 1
direct
0.230 0.230 0.230
0.770 0.770 0.770
0.000 0.000 0.000
0.500 0.500 0.500
```

Spin magnetization (μB per formula unit): 7.17
E_form (meV per atom): -467

---

4.
Compound: DyThPtAu
Source: Alexandria
Functional: PBE
Structure: optimized geometry

```
DyThPtAu
1.0
0.000 3.618 3.618
3.618 0.000 3.618
3.618 3.618 0.000
Dy Th Pt Au
1 1 1 1
direct
0.000 0.000 0.000
0.500 0.500 0.500
0.750 0.750 0.750
0.250 0.250 0.250
```

Spin magnetization (μB per formula unit): 0.00
Offset from the most stable computed form (meV per atom): 153.1
E_form (meV per atom): -894

---

Number 1: uncorrected energy -50.38 eV per formula unit. Number 2: uncorrected energy -12.58 eV per formula unit. Number 3: uncorrected energy -29.98 eV per formula unit. Number 4: uncorrected energy -24.92 eV per formula unit.